Record 1
The following is a PBE-GGA calculation of crystalline Eu2IrPb at its relaxed geometry, from Alexandria via LeMat-Bulk.

extended XYZ file:
```
4
Lattice="1.976 1.141 10.125 -1.976 1.141 10.125 0.000 -2.281 10.125" Properties=species:S:1:pos:R:3 pbc="T T T"
Eu 0.000 0.000 3.388
Eu 0.000 0.000 26.987
Ir 0.000 0.000 15.187
Pb 0.000 0.000 0.000
```

Calculated values
As for the relative energy among the computed polymorphs: 325 meV/atom. As for the space-group type: R-3m. The calculated formation energy comes out at -69.0 meV per atom.


Record 2
The following is a PBE-GGA calculation of crystalline Eu2IrPb at its relaxed geometry, from Alexandria via LeMat-Bulk.

extended XYZ file:
```
4
Lattice="3.484 0.000 0.000 0.000 3.484 0.000 0.000 0.000 8.769" Properties=species:S:1:pos:R:3 pbc="T T T"
Eu 0.000 0.000 1.751
Eu 0.000 0.000 7.019
Ir 1.742 1.742 0.000
Pb 1.742 1.742 4.385
```

Calculated values
As for the relative energy among the computed polymorphs: 0 meV/atom. As for the space-group type: P4/mmm. The calculated formation energy comes out at -394.0 meV per atom.


Record 3
The following is a PBE-GGA calculation of crystalline PmEuIrPd at its relaxed geometry, from Alexandria via LeMat-Bulk.

extended XYZ file:
```
4
Lattice="0.000 3.552 3.552 3.552 0.000 3.552 3.552 3.552 0.000" Properties=species:S:1:pos:R:3 pbc="T T T"
Pm 0.000 0.000 0.000
Eu 3.552 3.552 3.552
Ir 5.328 5.328 5.328
Pd 1.776 1.776 1.776
```

Calculated values
As for the space-group type: F-43m. The calculated formation energy comes out at -606.8 meV per atom.


Record 4
The following is a PBE-GGA calculation of crystalline EuScIrPd at its relaxed geometry, from Alexandria via LeMat-Bulk.

extended XYZ file:
```
4
Lattice="0.000 3.408 3.408 3.408 0.000 3.408 3.408 3.408 0.000" Properties=species:S:1:pos:R:3 pbc="T T T"
Eu 0.000 0.000 0.000
Sc 3.408 3.408 3.408
Ir 1.704 1.704 1.704
Pd 5.111 5.111 5.111
```

Calculated values
As for the space-group type: F-43m. The calculated formation energy comes out at -616.9 meV per atom.